DFT (PBE) results for a geometry-optimized Rb2TbInBr6 structure.

For the density, the calculation gives 3852 kg/m³. The uncorrected energy is -71.06 eV/cell. The uncorrected formation energy comes out at -1.619 eV/atom.

Cell and atoms, written as CIF:
```
data_Rb2TbInBr6
_chemical_formula_sum 'Rb4 Tb2 In2 Br12'
_space_group_name_H-M_alt 'P 1 21/c 1'
_space_group_IT_number 14
_space_group_name_Hall '-P 2ybc'
_cell_length_a 8.034
_cell_length_b 8.555
_cell_length_c 14.027
_cell_angle_alpha 90.00
_cell_angle_beta 124.27
_cell_angle_gamma 90.00
loop_
_atom_site_label
_atom_site_type_symbol
_atom_site_fract_x
_atom_site_fract_y
_atom_site_fract_z
Rb1 Rb 0.220 0.077 0.248
Tb1 Tb 0.500 0.000 0.000
In1 In 0.000 0.000 0.500
Br1 Br 0.162 0.179 0.948
Br2 Br 0.268 0.722 0.940
Br3 Br 0.381 0.036 0.770
```